Entry P
A plane-wave DFT calculation with PBE was carried out for LaDyCd2 after structural relaxation.

a b c (Å): 5.4384 5.4384 5.4384
angles (deg): 60.00 60.00 60.00
Sites, in units of the cell vectors:
La: 0.0000 0.0000 0.0000
Dy: 0.5000 0.5000 0.5000
Cd: 0.2500 0.2500 0.2500
Cd: 0.7500 0.7500 0.7500

Fermi-level density of states = 4.49 states/eV per cell
volume = 113.7 Å³/cell

Entry Q
A plane-wave DFT calculation with PBE was carried out for LaDyCd2 after structural relaxation.

a b c (Å): 3.7732 3.7732 7.9337
angles (deg): 90.00 90.00 90.00
Sites, in units of the cell vectors:
La: 0.0000 0.0000 0.0000
Dy: 0.0000 0.0000 0.5000
Cd: 0.5000 0.5000 0.2740
Cd: 0.5000 0.5000 0.7260

Fermi-level density of states = 4.40 states/eV per cell
volume = 113.0 Å³/cell

Among the structures above, stability is greatest for entry Q.